Computed, not measured: a geometry-optimized Ac2CdGe4Au3 structure at the PBE level of DFT.

Calculated values
symmetry = P-4m2 (115)
energy = -0.1583 Ha/atom
ΔE_f = -0.56 eV per atom
calculated volume = 229 Å³/cell

Lattice parameters (Å, degrees): 4.594 4.594 10.860 90.00 90.00 90.00
Fractional positions:
Ac1 0.500 0.000 0.243
Ac2 0.000 0.500 0.757
Cd1 0.500 0.500 0.500
Ge1 0.500 0.500 0.000
Ge2 0.000 0.000 0.000
Ge3 0.500 0.000 0.639
Ge4 0.000 0.500 0.361
Au1 0.000 0.000 0.500
Au2 0.500 0.000 0.876
Au3 0.000 0.500 0.124


Computed, not measured: a geometry-optimized AcCd2GeAu2 structure at the PBE level of DFT.

Calculated values
symmetry = I4/mmm (139)
energy = -0.1111 Ha/atom
ΔE_f = -0.17 eV per atom
calculated volume = 165 Å³/cell

Lattice parameters (Å, degrees): 5.318 5.318 6.944 112.52 112.52 90.00
Fractional positions:
Ac1 0.500 0.500 0.000
Cd1 0.250 0.750 0.500
Cd2 0.750 0.250 0.500
Ge1 0.000 0.000 0.000
Au1 0.788 0.788 0.577
Au2 0.212 0.212 0.423


Computed, not measured: a geometry-optimized Ac3CdGe2Au6 structure at the PBE level of DFT.

Calculated values
symmetry = P-3m1 (164)
energy = -0.1475 Ha/atom
ΔE_f = -0.50 eV per atom
calculated volume = 316 Å³/cell

Lattice parameters (Å, degrees): 6.550 6.550 8.495 90.00 90.00 120.00
Fractional positions:
Ac1 0.333 0.667 0.646
Ac2 0.667 0.333 0.354
Ac3 0.000 0.000 0.000
Cd1 0.000 0.000 0.500
Ge1 0.667 0.333 0.954
Ge2 0.333 0.667 0.046
Au1 0.634 0.817 0.282
Au2 0.183 0.366 0.282
Au3 0.183 0.817 0.282
Au4 0.817 0.634 0.718
Au5 0.366 0.183 0.718
Au6 0.817 0.183 0.718


Computed, not measured: a geometry-optimized Ac2Cd3Ge4Au structure at the PBE level of DFT.

Calculated values
symmetry = P-4m2 (115)
energy = -0.1339 Ha/atom
ΔE_f = -0.37 eV per atom
calculated volume = 242 Å³/cell

Lattice parameters (Å, degrees): 4.751 4.751 10.741 90.00 90.00 90.00
Fractional positions:
Ac1 0.500 0.000 0.252
Ac2 0.000 0.500 0.748
Cd1 0.000 0.000 0.500
Cd2 0.500 0.000 0.873
Cd3 0.000 0.500 0.127
Ge1 0.500 0.500 0.000
Ge2 0.000 0.000 0.000
Ge3 0.500 0.000 0.629
Ge4 0.000 0.500 0.371
Au1 0.500 0.500 0.500


Which of these has the highest ΔE_f?
AcCd2GeAu2